1.
Below is a relaxed Ac2PaH crystal, with properties calculated at the PBE level.

Unit cell a=10.3791 b=10.3791 c=10.3791 alpha=19.64 beta=19.64 gamma=19.64
Last column: nearest neighbours and their distance in Å.
Sites, in units of the cell vectors:
1 Ac 0.1115 0.1115 0.1115  3 H 2.65
2 Ac 0.8885 0.8885 0.8885  3 H 2.65
3 Pa 0.0000 0.0000 0.0000  2 Ac 3.40, 6 Pa 3.54
4 H 0.5000 0.5000 0.5000  6 Ac 2.65

Results
The theoretical density comes out at 10.31 g cm⁻³. The value obtained for the uncorrected energy is -4.899 eV/atom.

***

2.
Below is a relaxed ZrScSiTc crystal, with properties calculated at the PBE level.

Unit cell a=4.6256 b=4.6256 c=4.6256 alpha=60.00 beta=60.00 gamma=60.00
Last column: nearest neighbours and their distance in Å.
Sites, in units of the cell vectors:
1 Zr 0.0000 0.0000 0.0000  4 Si 2.83, 4 Tc 2.83
2 Sc 0.5000 0.5000 0.5000  4 Tc 2.83, 4 Si 2.83
3 Si 0.2500 0.2500 0.2500  4 Sc 2.83, 4 Zr 2.83
4 Tc 0.7500 0.7500 0.7500  4 Zr 2.83, 4 Sc 2.83

Results
The value obtained for the energy relative to the elements, uncorrected is -0.4536 eV/atom. The theoretical density comes out at 6.22 g cm⁻³. The value obtained for the uncorrected energy is -8.121 eV/atom.

***

3.
Below is a relaxed Co2CuCl8 crystal, with properties calculated at the PBE level.

Unit cell a=7.4941 b=7.4941 c=6.5476 alpha=92.29 beta=92.29 gamma=77.71
Last column: nearest neighbours and their distance in Å.
Sites, in units of the cell vectors:
1 Co 0.2178 0.2178 0.3411  4 Cl 2.10-2.28
2 Co 0.7822 0.7822 0.6589  4 Cl 2.10-2.28
3 Cu 0.0000 0.0000 0.0000  4 Cl 2.28
4 Cl 0.0604 0.7248 0.8256  1 Co 2.28, 1 Cu 2.28
5 Cl 0.1925 0.1925 0.6591  1 Co 2.12
6 Cl 0.2752 0.9396 0.1744  1 Co 2.28, 1 Cu 2.28
7 Cl 0.3861 0.3861 0.2413  1 Co 2.10
8 Cl 0.6139 0.6139 0.7587  1 Co 2.10
9 Cl 0.7248 0.0604 0.8256  1 Co 2.28, 1 Cu 2.28
10 Cl 0.8075 0.8075 0.3409  1 Co 2.12
11 Cl 0.9396 0.2752 0.1744  1 Co 2.28, 1 Cu 2.28

Results
The value obtained for the energy relative to the elements, uncorrected is -0.4870 eV/atom. The theoretical density comes out at 2.15 g cm⁻³. The value obtained for the uncorrected energy is -3.494 eV/atom.

***

What is the formula in the third record? Co2CuCl8

***

Which of these has the highest theoretical density? Ac2PaH

***

Which of these has the lowest theoretical density? Co2CuCl8